Entry 1:
Entry from Alexandria via LeMat-Bulk: an optimized crystal structure of LiP (PBEsol). Values from VASP.

The offset from the most stable computed form comes out at 109 meV/atom. The calculation puts the density at 2.2 Mg/m³. The energy of formation from the pure elements comes out at -0.424 eV/atom.

The structure in Quantum ESPRESSO input format:
```
&SYSTEM
  ibrav = 0, nat = 8, ntyp = 2
/
ATOMIC_SPECIES
Li 6.94 Li.upf
P 30.97 P.upf
CELL_PARAMETERS angstrom
9.864 0.000 0.000
0.000 2.774 0.000
-1.628 0.000 4.125
ATOMIC_POSITIONS angstrom
Li 0.876 0.000 1.001
Li 2.428 1.387 3.123
Li 5.808 1.387 1.001
Li 7.360 0.000 3.123
P -0.168 1.387 2.941
P 3.472 0.000 1.184
P 4.764 0.000 2.941
P 8.404 1.387 1.184
```

Entry 2:
Entry from Alexandria via LeMat-Bulk: an optimized crystal structure of Li2P (PBEsol). Values from VASP.

The offset from the most stable computed form comes out at 11 meV/atom. The calculation puts the density at 1.9 Mg/m³. The energy of formation from the pure elements comes out at -0.557 eV/atom.

The structure in Quantum ESPRESSO input format:
```
&SYSTEM
  ibrav = 0, nat = 12, ntyp = 2
/
ATOMIC_SPECIES
Li 6.94 Li.upf
P 30.97 P.upf
CELL_PARAMETERS angstrom
8.267 0.000 0.000
0.000 2.733 0.000
-0.576 0.000 7.129
ATOMIC_POSITIONS angstrom
Li 0.754 0.000 3.026
Li 1.130 1.366 0.702
Li 2.427 0.000 6.427
Li 2.803 1.366 4.103
Li 4.888 1.366 3.026
Li 5.264 0.000 0.702
Li 6.561 1.366 6.427
Li 6.936 0.000 4.103
P 0.588 1.366 5.298
P 2.969 0.000 1.830
P 4.722 0.000 5.298
P 7.102 1.366 1.830
```

Entry 3:
Entry from Alexandria via LeMat-Bulk: an optimized crystal structure of LiP (PBEsol). Values from VASP.

The offset from the most stable computed form comes out at 252 meV/atom. The calculation puts the density at 2.3 Mg/m³. The energy of formation from the pure elements comes out at -0.280 eV/atom.

The structure in Quantum ESPRESSO input format:
```
&SYSTEM
  ibrav = 0, nat = 8, ntyp = 2
/
ATOMIC_SPECIES
Li 6.94 Li.upf
P 30.97 P.upf
CELL_PARAMETERS angstrom
2.564 0.000 0.000
0.000 9.360 0.000
0.000 0.000 4.572
ATOMIC_POSITIONS angstrom
Li 0.000 1.518 1.143
Li 0.000 7.842 3.429
Li 1.282 3.162 3.429
Li 1.282 6.198 1.143
P 0.000 4.036 1.143
P 0.000 5.324 3.429
P 1.282 0.644 3.429
P 1.282 8.716 1.143
```

Entry 4:
Entry from Alexandria via LeMat-Bulk: an optimized crystal structure of LiP7 (PBEsol). Values from VASP.

The offset from the most stable computed form comes out at 597 meV/atom. The calculation puts the density at 3.3 Mg/m³. The energy of formation from the pure elements comes out at 0.456 eV/atom.

The structure in Quantum ESPRESSO input format:
```
&SYSTEM
  ibrav = 0, nat = 8, ntyp = 2
/
ATOMIC_SPECIES
Li 6.94 Li.upf
P 30.97 P.upf
CELL_PARAMETERS angstrom
0.000 3.825 3.825
3.825 0.000 3.825
3.825 3.825 0.000
ATOMIC_POSITIONS angstrom
Li 0.000 0.000 0.000
P 1.913 1.913 0.000
P 1.913 0.000 1.913
P 3.825 1.913 1.913
P 0.000 1.913 1.913
P 1.913 3.825 1.913
P 1.913 1.913 3.825
P 3.825 3.825 3.825
```

Here are the calculated total magnetic moment numbers, same order: 0.00; 0.00; 0.00; 0.00 (μB per formula unit).